Entry 1:
A geometry-optimized ZrCoAg2 structure, computed with GGA-PBE.

Values from the calculation:
Distance to the lowest polymorph of the same formula   254 meV/atom
Symmetry   Fm-3m (225)

Unit cell a=4.621 b=4.621 c=4.621 alpha=60.00 beta=60.00 gamma=60.00
Fractional coordinates of all 4 atoms:
Zr 0.000 0.000 0.000
Co 0.500 0.500 0.500
Ag 0.250 0.250 0.250
Ag 0.750 0.750 0.750

=====

Entry 2:
A geometry-optimized Hf2MnCd structure, computed with GGA-PBE.

Values from the calculation:
Symmetry   I-42d (122)

Unit cell a=10.113 b=10.113 c=10.113 alpha=156.59 beta=156.59 gamma=33.35
Fractional coordinates of all 8 atoms:
Hf 0.111 0.625 0.986
Hf 0.375 0.361 0.486
Hf 0.639 0.125 0.014
Hf 0.875 0.889 0.514
Mn 0.000 0.000 0.000
Mn 0.750 0.250 0.500
Cd 0.250 0.750 0.500
Cd 0.500 0.500 0.000

=====

Entry 3:
A geometry-optimized LiBe2W structure, computed with GGA-PBE.

Values from the calculation:
Distance to the lowest polymorph of the same formula   337 meV/atom
Symmetry   I-4m2 (119)

Unit cell a=4.555 b=4.555 c=4.555 alpha=135.71 beta=135.71 gamma=64.44
Fractional coordinates of all 4 atoms:
Li 0.000 0.000 0.000
Be 0.500 0.500 0.000
Be 0.750 0.250 0.500
W 0.250 0.750 0.500

=====

Number 1: energy of formation 268.3 meV per atom. Number 2: energy of formation 832.9 meV per atom. Number 3: energy of formation 511.2 meV per atom.